## MgPbW2F (PBE with a Hubbard U)

Data for MgPbW2F after structural relaxation.

It has space group P4/mmm (No. 123), with a = 5.5796 Å, b = 5.5796 Å, c = 5.4967 Å, α = 90.00°, β = 90.00° and γ = 90.00°. The distinct sites, in fractional coordinates, are Mg at (0.0000, 0.0000, 0.0000), Pb at (0.0000, 0.0000, 0.5000), W at (0.0000, 0.5000, 0.5000) and F at (0.5000, 0.5000, 0.0000).

The final energy comes out at -3.025 eV/atom.